Compound: MnBeAs2
Source: Alexandria
Functional: PBE
Structure: relaxed

abc: 3.253 3.303 5.854
angles: 65.57 90.00 90.00
Each line ends with the local moment (μB).
Atoms (fractional coordinates):
Be: 0.500 0.250 0.250  -0.02
As: 0.000 0.050 0.000  -0.07
As: 0.000 0.450 0.500  -0.07
Mn: 0.500 0.750 0.750  2.65

Results
* energy above the lowest structure with this stoichiometry: 246 meV per atom
* formation energy from the elements: 0.213 eV/atom
* calculated density: 6.2 g/cm³
* total magnetic moment: 2.43 μB per formula unit
* SG: No. 10


Compound: Sn4As6Pd
Source: Alexandria
Functional: PBE
Structure: relaxed

abc: 8.757 6.950 13.205
angles: 74.95 70.64 50.95
Atoms (fractional coordinates):
Sn: 0.329 0.872 0.705
Sn: 0.095 0.372 0.205
Sn: 0.544 0.290 0.545
Sn: 0.621 0.790 0.045
Sn: 0.951 0.629 0.618
Sn: 0.802 0.129 0.118
Sn: 0.770 0.173 0.807
Sn: 0.250 0.673 0.307
As: 0.440 0.564 0.100
As: 0.896 0.064 0.600
As: 0.495 0.666 0.393
As: 0.446 0.166 0.893
As: 0.358 0.040 0.480
As: 0.122 0.540 0.980
As: 0.061 0.954 0.918
As: 0.067 0.454 0.418
As: 0.907 0.133 0.287
As: 0.673 0.633 0.787
As: 0.252 0.314 0.722
As: 0.713 0.814 0.222
Pd: 0.643 0.051 0.380
Pd: 0.926 0.551 0.880

Results
* formation energy from the elements: -0.007 eV/atom
* calculated density: 5.8 g/cm³
* total magnetic moment: 0.00 μB per formula unit
* SG: No. 9


Compound: Na12Hg5Au3
Source: Alexandria
Functional: PBE
Structure: relaxed

abc: 15.161 15.161 15.161
angles: 109.47 109.47 109.47
Atoms (fractional coordinates):
Au: 0.750 0.375 0.125
Au: 0.875 0.750 0.125
Au: 0.375 0.750 0.625
Au: 0.250 0.125 0.375
Au: 0.875 0.125 0.250
Au: 0.375 0.625 0.250
Au: 0.625 0.375 0.750
Au: 0.125 0.875 0.750
Au: 0.750 0.875 0.625
Au: 0.625 0.250 0.375
Au: 0.125 0.250 0.875
Au: 0.250 0.625 0.875
Hg: 0.125 0.375 0.250
Hg: 0.000 0.500 0.000
Hg: 0.000 0.000 0.000
Hg: 0.375 0.250 0.125
Hg: 0.500 0.000 0.500
Hg: 0.500 0.500 0.000
Hg: 0.125 0.750 0.375
Hg: 0.750 0.125 0.875
Hg: 0.750 0.625 0.375
Hg: 0.375 0.125 0.750
Hg: 0.625 0.875 0.250
Hg: 0.500 0.500 0.500
Hg: 0.500 0.000 0.000
Hg: 0.000 0.000 0.500
Hg: 0.250 0.375 0.625
Hg: 0.250 0.875 0.125
Hg: 0.000 0.500 0.500
Hg: 0.875 0.250 0.625
Hg: 0.625 0.750 0.875
Hg: 0.875 0.625 0.750
Na: 0.735 0.138 0.069
Na: 0.334 0.569 0.431
Na: 0.931 0.362 0.265
Na: 0.569 0.235 0.138
Na: 0.597 0.735 0.666
Na: 0.931 0.569 0.166
Na: 0.334 0.765 0.403
Na: 0.069 0.903 0.138
Na: 0.569 0.931 0.666
Na: 0.735 0.597 0.166
Na: 0.765 0.431 0.362
Na: 0.834 0.931 0.069
Na: 0.138 0.735 0.569
Na: 0.362 0.431 0.097
Na: 0.097 0.931 0.362
Na: 0.403 0.138 0.569
Na: 0.097 0.166 0.235
Na: 0.431 0.666 0.069
Na: 0.834 0.903 0.265
Na: 0.138 0.403 0.069
Na: 0.362 0.931 0.765
Na: 0.569 0.638 0.403
Na: 0.931 0.834 0.569
Na: 0.765 0.334 0.903
Na: 0.431 0.362 0.597
Na: 0.069 0.166 0.431
Na: 0.235 0.666 0.097
Na: 0.166 0.097 0.735
Na: 0.638 0.069 0.235
Na: 0.862 0.597 0.931
Na: 0.569 0.334 0.931
Na: 0.597 0.862 0.431
Na: 0.903 0.834 0.765
Na: 0.903 0.069 0.638
Na: 0.862 0.265 0.431
Na: 0.166 0.069 0.931
Na: 0.638 0.569 0.903
Na: 0.431 0.069 0.334
Na: 0.265 0.403 0.834
Na: 0.235 0.569 0.638
Na: 0.931 0.097 0.862
Na: 0.666 0.235 0.597
Na: 0.431 0.765 0.862
Na: 0.069 0.431 0.834
Na: 0.403 0.265 0.334
Na: 0.069 0.638 0.735
Na: 0.666 0.431 0.569
Na: 0.265 0.862 0.931

Results
* formation energy from the elements: -0.047 eV/atom
* calculated density: 4.6 g/cm³
* total magnetic moment: 0.00 μB per formula unit
* SG: No. 230


Compound: Na3Mg2Bi4
Source: Alexandria
Functional: PBE
Structure: relaxed

abc: 5.070 5.880 10.040
angles: 93.07 90.00 115.54
Atoms (fractional coordinates):
Na: 0.595 0.191 0.767
Na: 0.000 0.000 0.000
Na: 0.405 0.809 0.233
Mg: 0.737 0.474 0.396
Mg: 0.263 0.526 0.604
Bi: 0.705 0.410 0.093
Bi: 0.295 0.590 0.907
Bi: 0.916 0.832 0.640
Bi: 0.084 0.168 0.360

Results
* formation energy from the elements: -0.255 eV/atom
* calculated density: 5.9 g/cm³
* total magnetic moment: 0.00 μB per formula unit
* SG: No. 12


Compound: MgScS2Cl
Source: Alexandria
Functional: PBE
Structure: relaxed

abc: 4.842 4.842 4.522
angles: 90.00 90.00 90.00
Atoms (fractional coordinates):
Sc: 0.500 0.500 0.500
S: 0.000 0.500 0.000
S: 0.500 0.000 0.000
Mg: 0.000 0.000 0.000
Cl: 0.000 0.000 0.500

Results
* energy above the lowest structure with this stoichiometry: 228 meV per atom
* calculated density: 2.6 g/cm³
* total magnetic moment: 0.00 μB per formula unit
* raw formation energy: -0.84 eV per atom
* SG: No. 123


Compound: SrAcCdGa
Source: Alexandria
Functional: PBE
Structure: relaxed

abc: 5.647 5.647 5.647
angles: 60.00 60.00 60.00
Atoms (fractional coordinates):
Sr: 0.000 0.000 0.000
Ac: 0.500 0.500 0.500
Ga: 0.250 0.250 0.250
Cd: 0.750 0.750 0.750

Results
* formation energy from the elements: -0.372 eV/atom
* calculated density: 6.5 g/cm³
* total magnetic moment: 0.00 μB per formula unit
* SG: No. 216


Compound: NaB3Pt6
Source: Alexandria
Functional: PBE
Structure: relaxed

abc: 5.570 5.568 5.504
angles: 99.03 99.44 119.10
Atoms (fractional coordinates):
Na: 0.939 0.939 0.805
B: 0.668 0.323 0.998
B: 0.322 0.666 0.998
B: 0.113 0.113 0.328
Pt: 0.397 0.398 0.703
Pt: 0.073 0.708 0.247
Pt: 0.708 0.071 0.248
Pt: 0.419 0.910 0.721
Pt: 0.909 0.420 0.720
Pt: 0.453 0.452 0.231

Results
* formation energy from the elements: -0.280 eV/atom
* calculated density: 14.4 g/cm³
* total magnetic moment: 0.00 μB per formula unit
* SG: No. 1


Compound: GaSiN2O
Source: Alexandria
Functional: PBE
Structure: relaxed

abc: 3.695 3.695 3.449
angles: 90.00 90.00 90.00
Atoms (fractional coordinates):
Si: 0.000 0.000 0.000
O: 0.000 0.000 0.500
Ga: 0.500 0.500 0.500
N: 0.000 0.500 0.000
N: 0.500 0.000 0.000

Results
* calculated density: 5.0 g/cm³
* total magnetic moment: 0.00 μB per formula unit
* raw formation energy: -0.05 eV per atom
* SG: No. 123


Compound: Y2VSbRu
Source: Alexandria
Functional: PBE
Structure: relaxed

abc: 5.276 5.008 5.276
angles: 90.00 90.00 90.00
Each line ends with the local moment (μB).
Atoms (fractional coordinates):
Y: 0.000 0.000 0.500  0.08
Y: 0.500 0.000 0.000  0.06
Sb: 0.000 0.500 0.000  -0.02
V: 0.500 0.500 0.500  2.98
Ru: 0.000 0.000 0.000  0.14

Results
* calculated density: 5.4 g/cm³
* total magnetic moment: 4.26 μB per formula unit
* raw formation energy: 0.24 eV per atom
* SG: No. 123


Compound: Pr3DyZn2
Source: Alexandria
Functional: PBE
Structure: relaxed

abc: 3.710 3.710 12.425
angles: 90.00 90.00 90.00
Atoms (fractional coordinates):
Pr: 0.000 0.000 0.000
Pr: 0.000 0.000 0.705
Pr: 0.000 0.000 0.295
Dy: 0.500 0.500 0.500
Zn: 0.500 0.500 0.851
Zn: 0.500 0.500 0.149

Results
* energy above the lowest structure with this stoichiometry: 0 meV per atom
* formation energy from the elements: -0.190 eV/atom
* calculated density: 7.0 g/cm³
* total magnetic moment: 0.00 μB per formula unit
* SG: No. 123


Compound: PmYCo
Source: Alexandria
Functional: PBE
Structure: relaxed

abc: 3.414 6.860 6.882
angles: 104.52 104.35 90.05
Each line ends with the local moment (μB).
Atoms (fractional coordinates):
Pm: 0.311 0.487 0.388  -0.06
Pm: 0.567 0.617 0.901  -0.06
Y: 0.565 0.114 0.898  -0.08
Y: 0.312 0.990 0.391  -0.08
Co: 0.940 0.296 0.647  0.90
Co: 0.938 0.808 0.642  0.90

Results
* energy above the lowest structure with this stoichiometry: 70 meV per atom
* formation energy from the elements: -0.045 eV/atom
* calculated density: 6.4 g/cm³
* total magnetic moment: 0.68 μB per formula unit
* SG: No. 12


Compound: Np2ScPaSb4
Source: Alexandria
Functional: PBE
Structure: relaxed

abc: 4.352 7.505 7.511
angles: 109.55 90.00 90.00
Each line ends with the local moment (μB).
Atoms (fractional coordinates):
Np: 0.500 0.000 0.500  -3.93
Np: 0.000 0.500 0.500  -4.00
Sc: 0.000 0.000 0.000  0.01
Pa: 0.500 0.500 0.000  -0.66
Sb: 0.500 0.239 0.238  0.06
Sb: 0.500 0.761 0.762  0.06
Sb: 0.000 0.244 0.757  0.05
Sb: 0.000 0.756 0.243  0.05

Results
* calculated density: 8.9 g/cm³
* total magnetic moment: 9.13 μB per formula unit
* raw formation energy: -0.45 eV per atom
* SG: No. 10